#i
Compound: HfZrCdTc
Source: the Alexandria database
Functional: GGA-PBE
Structure: relaxed

```
HfZrCdTc
1.0
3.323 0.000 0.000
0.000 3.323 0.000
0.000 0.000 7.210
Hf Zr Cd Tc
1 1 1 1
Cartesian
0.000 0.000 0.000
0.000 0.000 3.124
1.661 1.661 5.190
1.661 1.661 1.518
```

Properties
Density of states at the Fermi level: 0.9178 states/eV/atom
Total magnetic moment: 0.0 μB per cell

***

#ii
Compound: HfZrCdTc
Source: the Alexandria database
Functional: GGA-PBE
Structure: relaxed

```
HfZrCdTc
1.0
0.000 3.390 3.390
3.390 0.000 3.390
3.390 3.390 0.000
Hf Zr Cd Tc
1 1 1 1
Cartesian
0.000 0.000 0.000
3.390 3.390 3.390
5.085 5.085 5.085
1.695 1.695 1.695
```

Properties
Density of states at the Fermi level: 0.7458 states/eV/atom
Total magnetic moment: 0.0 μB per cell

***

Ranking the structures above by stability puts #i first and #ii last.